No. 1
ErHAu: relaxed, PBE-GGA.

a = 8.0139 Å, b = 8.0139 Å, c = 7.1216 Å
α = 90.00°, β = 90.00°, γ = 120.00°
Space group P6_3mc (No. 186)
Unique sites:
1 Er 0.1708 0.3416 0.0000 x6
2 Er 0.3333 0.6667 0.3666 x2
3 H 0.1674 0.3347 0.3341 x6
4 H 0.3333 0.6667 0.0652 x2
5 Au 0.0000 0.0000 0.2385 x2
6 Au 0.0839 0.5419 0.6958 x6

Computed properties:
Density of states at the Fermi level (states/eV per atom): 0.60
E_tot (eV per atom): -4.288
Crystal system: hexagonal
ΔE to the lowest computed polymorph (eV/f.u.): 0.00



No. 2
Er4HAu2: relaxed, PBE-GGA.

a = 4.649 Å, b = 4.649 Å, c = 14.689 Å
α = 90.00°, β = 90.00°, γ = 90.00°
Space group I4/mmm (No. 139)
Unique sites:
1 Er 0.000 0.000 0.184 x4
2 Er 0.000 0.500 0.000 x4
3 H 0.000 0.000 0.000 x2
4 Au 0.000 0.000 0.373 x4

Computed properties:
Density of states at the Fermi level (states/eV per atom): 1.20
E_tot (eV per atom): -4.573
Crystal system: tetragonal



No. 3
ErH8Ir2Au: relaxed, PBE-GGA.

a = 8.777 Å, b = 4.164 Å, c = 6.040 Å
α = 90.00°, β = 109.11°, γ = 90.00°
Space group C2/m (No. 12)
Unique sites:
1 Er 0.000 0.000 0.000 x2
2 H 0.084 0.500 0.124 x4
3 H 0.185 0.259 0.841 x8
4 H 0.213 0.000 0.378 x4
5 Ir 0.232 0.000 0.673 x4
6 Au 0.000 0.500 0.500 x2

Computed properties:
Density of states at the Fermi level (states/eV per atom): 0.09
E_tot (eV per atom): -4.450
Crystal system: monoclinic



No. 4
Er2HPd6Au: relaxed, PBE-GGA.

a = 9.457 Å, b = 5.720 Å, c = 6.969 Å
α = 90.00°, β = 114.46°, γ = 90.00°
Space group C2/m (No. 12)
Unique sites:
1 Er 0.238 0.000 0.307 x4
2 H 0.000 0.500 0.000 x2
3 Pd 0.079 0.244 0.867 x8
4 Pd 0.199 0.500 0.242 x4
5 Au 0.000 0.000 0.500 x2

Computed properties:
Density of states at the Fermi level (states/eV per atom): 0.29
E_tot (eV per atom): -5.300
Crystal system: monoclinic



No. 5
ErHfAu4: relaxed, PBE-GGA.

a = 3.644 Å, b = 3.644 Å, c = 8.899 Å
α = 90.00°, β = 90.00°, γ = 90.00°
Space group P4/mmm (No. 123)
Unique sites:
1 Er 0.000 0.000 0.000 x1
2 Hf 0.500 0.500 0.500 x1
3 Au 0.000 0.000 0.340 x2
4 Au 0.500 0.500 0.172 x2

Computed properties:
Energy relative to the elements (eV per atom): -0.721
Density of states at the Fermi level (states/eV per atom): 0.30
E_tot (eV per atom): -5.325
Crystal system: tetragonal



No. 6
ErHfAu6: relaxed, PBE-GGA.

a = 9.118 Å, b = 4.396 Å, c = 8.709 Å
α = 90.00°, β = 118.33°, γ = 90.00°
Space group C2/m (No. 12)
Unique sites:
1 Er 0.000 0.000 0.000 x2
2 Hf 0.000 0.000 0.500 x2
3 Au 0.007 0.500 0.748 x4
4 Au 0.249 0.000 0.865 x4
5 Au 0.249 0.500 0.617 x4

Computed properties:
Energy relative to the elements (eV per atom): -0.548
Density of states at the Fermi level (states/eV per atom): 0.45
E_tot (eV per atom): -4.821
Crystal system: monoclinic



No. 7
Er2HfAu6: relaxed, PBE-GGA.

a = 13.587 Å, b = 10.801 Å, c = 5.143 Å
α = 90.00°, β = 101.08°, γ = 90.00°
Space group C2/c (No. 15)
Unique sites:
1 Er 0.166 0.123 0.082 x8
2 Hf 0.000 0.377 0.250 x4
3 Au 0.058 0.136 0.521 x8
4 Au 0.107 0.382 0.808 x8
5 Au 0.217 0.372 0.358 x8

Computed properties:
Energy relative to the elements (eV per atom): -0.656
Density of states at the Fermi level (states/eV per atom): 0.63
E_tot (eV per atom): -4.961
Crystal system: monoclinic



No. 8
ErHfNiAu: relaxed, PBE-GGA.

a = 6.772 Å, b = 6.772 Å, c = 6.772 Å
α = 90.00°, β = 90.00°, γ = 90.00°
Space group F-43m (No. 216)
Unique sites:
1 Er 0.000 0.000 0.000 x4
2 Hf 0.000 0.000 0.500 x4
3 Ni 0.250 0.250 0.750 x4
4 Au 0.250 0.250 0.250 x4

Computed properties:
Energy relative to the elements (eV per atom): -0.438
Density of states at the Fermi level (states/eV per atom): 0.56
E_tot (eV per atom): -6.332
Crystal system: cubic



No. 9
ErHfRuAu: relaxed, PBE-GGA.

a = 6.795 Å, b = 6.795 Å, c = 6.795 Å
α = 90.00°, β = 90.00°, γ = 90.00°
Space group F-43m (No. 216)
Unique sites:
1 Er 0.000 0.000 0.000 x4
2 Hf 0.000 0.000 0.500 x4
3 Ru 0.250 0.250 0.250 x4
4 Au 0.250 0.250 0.750 x4

Computed properties:
Energy relative to the elements (eV per atom): -0.520
Density of states at the Fermi level (states/eV per atom): 0.99
E_tot (eV per atom): -7.288
Crystal system: cubic



No. 10
ErHfTlAu: relaxed, PBE-GGA.

a = 7.147 Å, b = 7.147 Å, c = 7.147 Å
α = 90.00°, β = 90.00°, γ = 90.00°
Space group F-43m (No. 216)
Unique sites:
1 Er 0.000 0.000 0.000 x4
2 Hf 0.000 0.000 0.500 x4
3 Tl 0.250 0.250 0.750 x4
4 Au 0.250 0.250 0.250 x4

Computed properties:
Energy relative to the elements (eV per atom): -0.261
Density of states at the Fermi level (states/eV per atom): 0.69
E_tot (eV per atom): -5.301
Crystal system: cubic



No. 11
ErHg6Au: relaxed, PBE-GGA.

a = 8.5455 Å, b = 8.5455 Å, c = 10.4000 Å
α = 90.00°, β = 90.00°, γ = 120.00°
Space group R-3m (No. 166, hexagonal axes)
Unique sites:
1 Er 0.0000 0.0000 0.0000 x3
2 Hg 0.0813 0.5407 0.3706 x18
3 Au 0.0000 0.0000 0.5000 x3

Computed properties:
Energy relative to the elements (eV per atom): -0.051
Density of states at the Fermi level (states/eV per atom): 0.54
E_tot (eV per atom): -1.257
Crystal system: trigonal



No. 12
ErHgAu: relaxed, PBE-GGA.

a = 3.806 Å, b = 3.806 Å, c = 9.263 Å
α = 90.00°, β = 90.00°, γ = 90.00°
Space group I4mm (No. 107)
Unique sites:
1 Er 0.000 0.000 0.000 x2
2 Hg 0.000 0.000 0.674 x2
3 Au 0.000 0.000 0.341 x2

Computed properties:
Energy relative to the elements (eV per atom): -0.605
Density of states at the Fermi level (states/eV per atom): 0.31
E_tot (eV per atom): -3.319
Crystal system: tetragonal



Which value of E_tot does entry 2 give? -4.573 eV per atom



Which formula does entry 4 have? Er2HPd6Au